# TaPbSe2

A geometry-optimized TaPbSe2 structure (GGA-PBEsol, Alexandria via LeMat-Bulk).

The structure in POSCAR format:
```
TaPbSe2
1.0
3.4167 0.0000 0.0000
-1.7084 2.9590 0.0000
0.0000 0.0000 9.3476
Ta Pb Se
1 1 2
Direct
0.0000 0.0000 0.0000 Ta
0.3333 0.6667 0.5000 Pb
0.3333 0.6667 0.1777 Se
0.3333 0.6667 0.8223 Se
```

Calculated values
Electronic total energy = -6.745 eV per atom
Formation energy (no corrections) = -0.682 eV per atom

---

# TaPbSe2

A geometry-optimized TaPbSe2 structure (GGA-PBEsol, Alexandria via LeMat-Bulk).

The structure in POSCAR format:
```
TaPbSe2
1.0
4.1128 0.0000 0.0000
0.0000 4.1128 0.0000
0.0000 0.0000 9.7624
Ta Pb Se
2 2 4
Direct
0.0000 0.0000 0.0000 Ta
0.5000 0.5000 0.5000 Ta
0.0000 0.5000 0.2500 Pb
0.5000 0.0000 0.7500 Pb
0.0000 0.0000 0.5000 Se
0.0000 0.5000 0.7500 Se
0.5000 0.0000 0.2500 Se
0.5000 0.5000 0.0000 Se
```

Calculated values
Electronic total energy = -5.646 eV per atom
Formation energy (no corrections) = 0.416 eV per atom

---

# TcPbSe3

A geometry-optimized TcPbSe3 structure (GGA-PBEsol, Alexandria via LeMat-Bulk).

The structure in POSCAR format:
```
TcPbSe3
1.0
5.2888 0.0000 0.0000
0.0000 5.2888 0.0000
0.0000 0.0000 5.2888
Tc Pb Se
1 1 3
Direct
0.0000 0.0000 0.0000 Tc
0.5000 0.5000 0.5000 Pb
0.0000 0.5000 0.5000 Se
0.5000 0.0000 0.5000 Se
0.5000 0.5000 0.0000 Se
```

Calculated values
Electronic total energy = -4.032 eV per atom
Formation energy (no corrections) = 1.331 eV per atom

---

# TePbSe

A geometry-optimized TePbSe structure (GGA-PBEsol, Alexandria via LeMat-Bulk).

The structure in POSCAR format:
```
TePbSe
1.0
4.1750 0.0000 0.0000
0.0000 4.1750 0.0000
0.0000 0.0000 9.9178
Te Pb Se
2 2 2
Direct
0.0000 0.0000 0.0000 Te
0.5000 0.5000 0.5000 Te
0.0000 0.0000 0.6442 Pb
0.5000 0.5000 0.1442 Pb
0.0000 0.0000 0.2676 Se
0.5000 0.5000 0.7676 Se
```

Calculated values
Electronic total energy = -3.898 eV per atom
Formation energy (no corrections) = -0.106 eV per atom

---

# Te4PbSe

A geometry-optimized Te4PbSe structure (GGA-PBEsol, Alexandria via LeMat-Bulk).

The structure in POSCAR format:
```
Te4PbSe
1.0
0.0000 4.4007 4.4007
4.4007 0.0000 4.4007
4.4007 4.4007 0.0000
Te Pb Se
4 1 1
Direct
0.1241 0.1241 0.1241 Te
0.1241 0.1241 0.6276 Te
0.1241 0.6276 0.1241 Te
0.6276 0.1241 0.1241 Te
0.5000 0.5000 0.5000 Pb
0.7500 0.7500 0.7500 Se
```

Calculated values
Electronic total energy = -3.321 eV per atom
Formation energy (no corrections) = 0.338 eV per atom

---

# TePbSe2

A geometry-optimized TePbSe2 structure (GGA-PBEsol, Alexandria via LeMat-Bulk).

The structure in POSCAR format:
```
TePbSe2
1.0
4.2409 0.0000 0.0000
0.0000 4.2409 0.0000
0.0000 0.0000 6.0767
Te Pb Se
1 1 2
Direct
0.0000 0.0000 0.0000 Te
0.5000 0.5000 0.5000 Pb
0.0000 0.0000 0.5000 Se
0.5000 0.5000 0.0000 Se
```

Calculated values
Electronic total energy = -4.035 eV per atom
Formation energy (no corrections) = -0.229 eV per atom
Offset from the most stable computed form = 0 meV per atom